First-principles (PBE) data for an optimized crystal structure of LuBeCo2, as listed in the Open Quantum Materials Database.

* calculated density: 9.4 g cm⁻³
* final energy: -5.43 eV/atom
* magnetic moment: 0.05 μB per formula unit

abc: 4.222 4.222 4.222
angles: 60.00 60.00 60.00
Site moments in Bohr magnetons follow the coordinates.
Positions (direct):
Be  0.500  0.500  0.500  -0.01
Co  0.000  0.000  0.000  -0.02
Co  0.750  0.750  0.750  0.08
Lu  0.250  0.250  0.250  0.00